Entry from Alexandria: a relaxed HfTlInI6 crystal (PBE).

Summary:
Its magnetization is 0.0 μB/cell. Its calculated total energy is -3.453 eV/atom.

Unit cell a=8.3014 b=8.3014 c=14.1084 alpha=90.00 beta=90.00 gamma=120.00
Space group P-31c (No. 163)
Symmetry-distinct sites (fractional):
Hf 0.3333 0.6667 0.2500 [2 per cell]
Tl 0.0000 0.0000 0.0000 [2 per cell]
In 0.3333 0.6667 0.7500 [2 per cell]
I 0.0504 0.3876 0.1326 [12 per cell]

Entry from Alexandria: a relaxed Rb2Mg2SeS2 crystal (PBE).

Summary:
Its magnetization is 0.0 μB/cell. Its calculated total energy is -3.687 eV/atom.

Unit cell a=14.3895 b=4.1810 c=8.5109 alpha=90.00 beta=125.28 gamma=90.00
Space group C2/m (No. 12)
Symmetry-distinct sites (fractional):
Rb 0.0638 0.0000 0.3556 [4 per cell]
Mg 0.1961 0.5000 0.0705 [4 per cell]
Se 0.0000 0.5000 0.0000 [2 per cell]
S 0.1901 0.5000 0.7685 [4 per cell]

Entry from Alexandria: a relaxed PuHf2Zr4 crystal (PBE).

Summary:
The calculated formation energy is 0.0596 eV/atom. Its magnetization is 10.2 μB/cell. The value obtained for the energy above the most stable polymorph in this dataset is 0.003 eV/atom.

Unit cell a=20.6688 b=5.0700 c=3.1157 alpha=90.00 beta=95.66 gamma=90.00
Space group C2/m (No. 12)
Symmetry-distinct sites (fractional):
Pu 0.0000 0.0000 0.0000 [2 per cell]
Hf 0.2223 0.5000 0.2287 [4 per cell]
Zr 0.0779 0.5000 0.6391 [4 per cell]
Zr 0.1443 0.0000 0.1907 [4 per cell]